{"formula": "CeCu4Ge4", "functional": "PBE", "state": "relaxed", "cell": [[-2.201, 5.616, -0.248], [-0.378, -0.413, -6.011], [-7.749, -3.007, 0.694]], "species": ["Ce", "Cu", "Cu", "Cu", "Cu", "Ge", "Ge", "Ce", "Cu", "Ge", "Cu", "Ge", "Ge", "Cu", "Ge", "Cu", "Ge", "Ge"], "fractional_positions": [[0.500, 0.500, 0.500], [0.500, 0.777, 0.086], [0.723, 0.000, 0.586], [0.777, 0.500, 0.914], [0.500, 0.223, 0.086], [0.281, 0.000, 0.297], [0.000, 0.719, 0.703], [0.000, 0.000, 0.000], [0.000, 0.277, 0.414], [0.000, 0.281, 0.703], [0.277, 0.000, 0.586], [0.781, 0.500, 0.203], [0.500, 0.219, 0.797], [0.000, 0.723, 0.414], [0.719, 0.000, 0.297], [0.223, 0.500, 0.914], [0.500, 0.781, 0.797], [0.219, 0.500, 0.203]], "spacegroup": "P4_2/nmc (137)", "final_energy_ev_per_cell": -84.1, "formation_energy_mev_per_atom": -138, "dos_ef_per_ev_cell": 12.60, "total_magnetization_mub_per_fu": 0.6}